# 1
Compound: HfZnPb2
Source: the Alexandria database
Functional: PBE
Structure: relaxed

Calculated values
Energy ... -4.25 eV per atom
Formation enthalpy at 0 K ... 0.41 eV per atom
SG ... No. 166

Cell lengths 3.3638, 3.3638, 10.6976 Å; angles 80.95, 80.95, 60.00 degrees
Sites, in units of the cell vectors:
Pb: 0.9060 0.9060 0.2821
Hf: 0.0000 0.0000 0.0000
Zn: 0.5000 0.5000 0.5000
Pb: 0.0940 0.0940 0.7179



# 2
Compound: GdScPbAu
Source: the Alexandria database
Functional: PBE
Structure: relaxed

Calculated values
Energy ... -7.43 eV per atom
Formation enthalpy at 0 K ... -0.58 eV per atom
SG ... No. 216

Cell lengths 5.1553, 5.1553, 5.1553 Å; angles 60.00, 60.00, 60.00 degrees
Sites, in units of the cell vectors:
Pb: 0.5000 0.5000 0.5000
Gd: 0.7500 0.7500 0.7500
Sc: 0.2500 0.2500 0.2500
Au: 0.0000 0.0000 0.0000



# 3
Compound: AcCeAs2Rh2
Source: the Alexandria database
Functional: PBE
Structure: relaxed

Calculated values
Energy ... -6.79 eV per atom
Formation enthalpy at 0 K ... -1.11 eV per atom
SG ... No. 164

Cell lengths 4.3169, 4.3169, 8.1880 Å; angles 90.00, 90.00, 120.00 degrees
Sites, in units of the cell vectors:
Ac: 0.0000 0.0000 0.0000
Rh: 0.3333 0.6667 0.7407
Ce: 0.0000 0.0000 0.5000
As: 0.6667 0.3333 0.7224
Rh: 0.6667 0.3333 0.2593
As: 0.3333 0.6667 0.2776



What is the energy in the first record?
-4.25 eV per atom



Copy entry 1 word for word.
Compound: HfZnPb2
Source: the Alexandria database
Functional: PBE
Structure: relaxed

Calculated values
Energy ... -4.25 eV per atom
Formation enthalpy at 0 K ... 0.41 eV per atom
SG ... No. 166

Cell lengths 3.3638, 3.3638, 10.6976 Å; angles 80.95, 80.95, 60.00 degrees
Sites, in units of the cell vectors:
Pb: 0.9060 0.9060 0.2821
Hf: 0.0000 0.0000 0.0000
Zn: 0.5000 0.5000 0.5000
Pb: 0.0940 0.0940 0.7179



Which value of energy does entry 1 give?
-4.25 eV per atom



Which of these has the lowest energy?
GdScPbAu